No. 1
## LiPm2ScTl4 (GGA-PBE)

Data for a relaxed LiPm2ScTl4 crystal.

Calculated values
Formation energy from the elements ... -0.319 eV per atom
Calculated total energy ... -0.2734 Ry/atom

a = 9.2936 Å, b = 9.2936 Å, c = 9.2936 Å
α = 32.78°, β = 32.78°, γ = 32.78°
Closest atoms and distances in Å follow each position.
Element x y z (fractional)
Li1 0.0000 0.0000 0.0000  8 Tl 3.22-3.32
Pm1 0.2542 0.2542 0.2542  8 Tl 3.18-3.38
Pm2 0.7458 0.7458 0.7458  8 Tl 3.18-3.38
Sc1 0.5000 0.5000 0.5000  8 Tl 3.21-3.30
Tl1 0.1261 0.1261 0.1261  3 Sc 3.21, 4 Pm 3.27-3.38, 1 Li 3.32
Tl2 0.3749 0.3749 0.3749  4 Pm 3.18-3.19, 3 Li 3.22, 1 Sc 3.30
Tl3 0.6251 0.6251 0.6251  4 Pm 3.18-3.19, 3 Li 3.22, 1 Sc 3.30
Tl4 0.8739 0.8739 0.8739  3 Sc 3.21, 4 Pm 3.27-3.38, 1 Li 3.32


No. 2
## LiPmTmSc (GGA-PBE)

Data for a relaxed LiPmTmSc crystal.

Calculated values
Formation energy from the elements ... 0.153 eV per atom
Calculated total energy ... -0.3097 Ry/atom

a = 5.3585 Å, b = 5.3585 Å, c = 5.3585 Å
α = 60.00°, β = 60.00°, γ = 60.00°
Closest atoms and distances in Å follow each position.
Element x y z (fractional)
Li1 0.0000 0.0000 0.0000  4 Pm 3.28, 4 Tm 3.28
Pm1 0.7500 0.7500 0.7500  4 Sc 3.28, 4 Li 3.28
Tm1 0.2500 0.2500 0.2500  4 Sc 3.28, 4 Li 3.28
Sc1 0.5000 0.5000 0.5000  4 Pm 3.28, 4 Tm 3.28


No. 3
## LiPmYSc (GGA-PBE)

Data for a relaxed LiPmYSc crystal.

Calculated values
Formation energy from the elements ... 0.144 eV per atom
Calculated total energy ... -0.3470 Ry/atom

a = 5.3967 Å, b = 5.3967 Å, c = 5.3967 Å
α = 60.00°, β = 60.00°, γ = 60.00°
Closest atoms and distances in Å follow each position.
Element x y z (fractional)
Li1 0.0000 0.0000 0.0000  4 Pm 3.30, 4 Y 3.30
Pm1 0.7500 0.7500 0.7500  4 Li 3.30, 4 Sc 3.30
Y1 0.2500 0.2500 0.2500  4 Li 3.30, 4 Sc 3.30
Sc1 0.5000 0.5000 0.5000  4 Pm 3.30, 4 Y 3.30


No. 4
## LiPmScZn (GGA-PBE)

Data for a relaxed LiPmScZn crystal.

Calculated values
Formation energy from the elements ... -0.097 eV per atom
Calculated total energy ... -0.2693 Ry/atom

a = 5.0247 Å, b = 5.0247 Å, c = 5.0247 Å
α = 60.00°, β = 60.00°, γ = 60.00°
Closest atoms and distances in Å follow each position.
Element x y z (fractional)
Li1 0.0000 0.0000 0.0000  4 Pm 3.08, 4 Sc 3.08
Pm1 0.2500 0.2500 0.2500  4 Li 3.08, 4 Zn 3.08
Sc1 0.7500 0.7500 0.7500  4 Li 3.08, 4 Zn 3.08
Zn1 0.5000 0.5000 0.5000  4 Sc 3.08, 4 Pm 3.08


No. 5
## Li5PmSe4 (GGA-PBE)

Data for a relaxed Li5PmSe4 crystal.

Calculated values
Raw formation energy ... -13.90 eV/f.u.
Calculated total energy ... -0.3099 Ry/atom

a = 8.2735 Å, b = 8.2735 Å, c = 8.2735 Å
α = 150.96°, β = 125.81°, γ = 62.65°
Closest atoms and distances in Å follow each position.
Element x y z (fractional)
Li1 0.0000 0.0000 0.0000  4 Se 2.70
Li2 0.1131 0.3210 0.7921  4 Se 2.57-2.68
Li3 0.4711 0.6790 0.7921  4 Se 2.57-2.68
Li4 0.5289 0.3210 0.2079  4 Se 2.57-2.68
Li5 0.8869 0.6790 0.2079  4 Se 2.57-2.68
Pm1 0.5000 0.0000 0.5000  6 Se 2.91-3.01
Se1 0.2300 0.5000 0.7300  4 Li 2.57-2.70
Se2 0.2870 0.7870 0.5000  6 Li 2.64-2.68
Se3 0.7130 0.2130 0.5000  6 Li 2.64-2.68
Se4 0.7700 0.5000 0.2700  4 Li 2.57-2.70


No. 6
## LiPm6Se8 (GGA-PBE)

Data for a relaxed LiPm6Se8 crystal.

Calculated values
Raw formation energy ... -27.29 eV/f.u.
Calculated total energy ... -0.4194 Ry/atom

a = 8.3330 Å, b = 8.3330 Å, c = 8.3330 Å
α = 60.00°, β = 60.00°, γ = 60.00°
Closest atoms and distances in Å follow each position.
Element x y z (fractional)
Li1 0.0000 0.0000 0.0000  6 Se 2.89
Pm1 0.0000 0.0000 0.5000  6 Se 2.95
Pm2 0.0000 0.5000 0.0000  6 Se 2.95
Pm3 0.0000 0.5000 0.5000  6 Se 2.95
Pm4 0.5000 0.0000 0.0000  6 Se 2.95
Pm5 0.5000 0.0000 0.5000  6 Se 2.95
Pm6 0.5000 0.5000 0.0000  6 Se 2.95
Se1 0.2449 0.2449 0.7551  1 Li 2.89, 4 Pm 2.95
Se2 0.2449 0.7551 0.2449  1 Li 2.89, 4 Pm 2.95
Se3 0.2449 0.7551 0.7551  1 Li 2.89, 4 Pm 2.95
Se4 0.2500 0.2500 0.2500  6 Pm 2.95
Se5 0.7500 0.7500 0.7500  6 Pm 2.95
Se6 0.7551 0.2449 0.2449  1 Li 2.89, 4 Pm 2.95
Se7 0.7551 0.2449 0.7551  1 Li 2.89, 4 Pm 2.95
Se8 0.7551 0.7551 0.2449  1 Li 2.89, 4 Pm 2.95


No. 7
## Li2Pm3Se4 (GGA-PBE)

Data for a relaxed Li2Pm3Se4 crystal.

Calculated values
Raw formation energy ... -13.27 eV/f.u.
Calculated total energy ... -0.3698 Ry/atom

a = 8.3629 Å, b = 8.3629 Å, c = 6.3057 Å
α = 93.39°, β = 93.39°, γ = 75.89°
Closest atoms and distances in Å follow each position.
Element x y z (fractional)
Li1 0.0829 0.3347 0.0831  4 Se 2.46-2.59
Li2 0.3347 0.0829 0.5831  4 Se 2.46-2.59
Li3 0.6653 0.9171 0.4169  4 Se 2.46-2.59
Li4 0.9171 0.6653 0.9169  4 Se 2.46-2.59
Pm1 0.0998 0.9002 0.2500  6 Se 2.92-3.06
Pm2 0.2627 0.5097 0.5218  6 Se 2.97-3.23
Pm3 0.4903 0.7373 0.9782  6 Se 2.97-3.23
Pm4 0.5097 0.2627 0.0218  6 Se 2.97-3.23
Pm5 0.7373 0.4903 0.4782  6 Se 2.97-3.23
Pm6 0.9002 0.0998 0.7500  6 Se 2.92-3.06
Se1 0.0620 0.2488 0.4446  2 Li 2.46-2.50
Se2 0.2266 0.5611 0.0296  2 Li 2.53-2.59
Se3 0.2488 0.0620 0.9446  2 Li 2.46-2.50
Se4 0.4389 0.7734 0.4704  2 Li 2.53-2.59
Se5 0.5611 0.2266 0.5296  2 Li 2.53-2.59
Se6 0.7512 0.9380 0.0554  2 Li 2.46-2.50
Se7 0.7734 0.4389 0.9704  2 Li 2.53-2.59
Se8 0.9380 0.7512 0.5554  2 Li 2.46-2.50


No. 8
## LiPm5Se6 (GGA-PBE)

Data for a relaxed LiPm5Se6 crystal.

Calculated values
Raw formation energy ... -21.59 eV/f.u.
Calculated total energy ... -0.4175 Ry/atom

a = 7.2095 Å, b = 7.2095 Å, c = 7.2240 Å
α = 99.61°, β = 99.61°, γ = 120.04°
Closest atoms and distances in Å follow each position.
Element x y z (fractional)
Li1 0.0000 0.0000 0.0000  6 Se 2.84-2.85
Pm1 0.1677 0.8323 0.5000  6 Se 2.94-3.03
Pm2 0.3348 0.6652 0.0000  6 Se 2.94-2.96
Pm3 0.5000 0.5000 0.5000  6 Se 2.94-3.06
Pm4 0.6652 0.3348 0.0000  6 Se 2.94-2.96
Pm5 0.8323 0.1677 0.5000  6 Se 2.94-3.03
Se1 0.0802 0.4024 0.2429  1 Li 2.85, 5 Pm 2.94-3.03
Se2 0.2395 0.2395 0.7581  1 Li 2.84, 5 Pm 2.94-3.06
Se3 0.4024 0.0802 0.2429  1 Li 2.85, 5 Pm 2.94-3.03
Se4 0.5976 0.9198 0.7571  1 Li 2.85, 5 Pm 2.94-3.03
Se5 0.7605 0.7605 0.2419  1 Li 2.84, 5 Pm 2.94-3.06
Se6 0.9198 0.5976 0.7571  1 Li 2.85, 5 Pm 2.94-3.03


No. 9
## LiPm4Se6 (GGA-PBE)

Data for a relaxed LiPm4Se6 crystal.

Calculated values
Raw formation energy ... -19.25 eV/f.u.
Calculated total energy ... -0.4081 Ry/atom

a = 8.1437 Å, b = 8.1437 Å, c = 8.1437 Å
α = 90.88°, β = 90.88°, γ = 90.88°
Closest atoms and distances in Å follow each position.
Element x y z (fractional)
Li1 0.0000 0.0000 0.0000  6 Se 2.69
Li2 0.5000 0.5000 0.5000  6 Se 2.69
Pm1 0.1376 0.7500 0.3624  8 Se 3.03-3.20
Pm2 0.2500 0.2500 0.2500  6 Se 2.91
Pm3 0.2500 0.6376 0.8624  8 Se 3.03-3.20
Pm4 0.3624 0.1376 0.7500  8 Se 3.03-3.20
Pm5 0.6376 0.8624 0.2500  8 Se 3.03-3.20
Pm6 0.7500 0.3624 0.1376  8 Se 3.03-3.20
Pm7 0.7500 0.7500 0.7500  6 Se 2.91
Pm8 0.8624 0.2500 0.6376  8 Se 3.03-3.20
Se1 0.0601 0.9172 0.6862  1 Li 2.69, 1 Pm 2.91
Se2 0.0828 0.3138 0.9399  1 Li 2.69, 1 Pm 2.91
Se3 0.1862 0.4172 0.5601  1 Li 2.69, 1 Pm 2.91
Se4 0.3138 0.9399 0.0828  1 Li 2.69, 1 Pm 2.91
Se5 0.4172 0.5601 0.1862  1 Li 2.69, 1 Pm 2.91
Se6 0.4399 0.8138 0.5828  1 Li 2.69, 1 Pm 2.91
Se7 0.5601 0.1862 0.4172  1 Li 2.69, 1 Pm 2.91
Se8 0.5828 0.4399 0.8138  1 Li 2.69, 1 Pm 2.91
Se9 0.6862 0.0601 0.9172  1 Li 2.69, 1 Pm 2.91
Se10 0.8138 0.5828 0.4399  1 Li 2.69, 1 Pm 2.91
Se11 0.9172 0.6862 0.0601  1 Li 2.69, 1 Pm 2.91
Se12 0.9399 0.0828 0.3138  1 Li 2.69, 1 Pm 2.91


No. 10
## LiPm2Se3 (GGA-PBE)

Data for a relaxed LiPm2Se3 crystal.

Calculated values
Raw formation energy ... -9.48 eV/f.u.
Calculated total energy ... -0.3840 Ry/atom
Energy above the most stable polymorph in this dataset ... 0.94 eV/f.u.

a = 7.6210 Å, b = 7.6210 Å, c = 7.3452 Å
α = 110.18°, β = 110.18°, γ = 54.59°
Closest atoms and distances in Å follow each position.
Element x y z (fractional)
Li1 0.0930 0.9070 0.7500  3 Se 2.43-2.48
Li2 0.9070 0.0930 0.2500  3 Se 2.43-2.48
Pm1 0.1722 0.5042 0.3361  6 Se 2.94-3.08
Pm2 0.4958 0.8278 0.1639  6 Se 2.94-3.08
Pm3 0.5042 0.1722 0.8361  6 Se 2.94-3.08
Pm4 0.8278 0.4958 0.6639  6 Se 2.94-3.08
Se1 0.1550 0.1988 0.9604  1 Li 2.43
Se2 0.1988 0.1550 0.4604  1 Li 2.43
Se3 0.4472 0.5528 0.7500  1 Li 2.48
Se4 0.5528 0.4472 0.2500  1 Li 2.48
Se5 0.8012 0.8450 0.5396  1 Li 2.43
Se6 0.8450 0.8012 0.0396  1 Li 2.43


No. 11
## LiPm2Se3 (GGA-PBE)

Data for a relaxed LiPm2Se3 crystal.

Calculated values
Raw formation energy ... -10.41 eV/f.u.
Calculated total energy ... -0.3955 Ry/atom
Energy above the most stable polymorph in this dataset ... 0.00 eV/f.u.

a = 7.1624 Å, b = 7.1624 Å, c = 7.1624 Å
α = 146.49°, β = 131.45°, γ = 60.28°
Closest atoms and distances in Å follow each position.
Element x y z (fractional)
Li1 0.0000 0.0000 0.0000  6 Se 2.85-2.94
Pm1 0.3333 0.3333 0.0000  6 Se 2.92-2.99
Pm2 0.6667 0.6667 0.0000  6 Se 2.92-2.99
Se1 0.1586 0.6586 0.5000  2 Li 2.85, 4 Pm 2.95-2.99
Se2 0.5000 0.0000 0.5000  4 Pm 2.92, 2 Li 2.94
Se3 0.8414 0.3414 0.5000  2 Li 2.85, 4 Pm 2.95-2.99


No. 12
## LiPmSe (GGA-PBE)

Data for a relaxed LiPmSe crystal.

Calculated values
Raw formation energy ... -3.47 eV/f.u.
Calculated total energy ... -0.3335 Ry/atom

a = 4.1707 Å, b = 4.1707 Å, c = 4.0813 Å
α = 90.00°, β = 90.00°, γ = 120.00°
Closest atoms and distances in Å follow each position.
Element x y z (fractional)
Li1 0.0000 0.0000 0.0000  3 Se 2.41
Pm1 0.3333 0.6667 0.5000  6 Li 3.16, 6 Se 3.16
Se1 0.6667 0.3333 0.0000  3 Li 2.41